This record from OQMD describes LiIrO4 after structural relaxation. The functional is GGA-PBE.

The structure in POSCAR format:
```
LiIrO4
1.0
-1.502 2.149 -1.690
-6.356 0.573 6.376
4.847 6.505 3.964
O Li Ir
16 4 4
direct
0.480 0.611 0.860
0.480 0.889 0.640
0.970 0.153 0.596
0.970 0.347 0.904
0.480 0.611 0.361
0.030 0.653 0.096
0.480 0.889 0.139
0.970 0.347 0.404
0.520 0.111 0.360
0.520 0.389 0.140
0.520 0.389 0.639
0.030 0.653 0.596
0.030 0.847 0.904
0.970 0.153 0.096
0.030 0.847 0.404
0.520 0.111 0.861
0.000 0.500 0.250
0.000 0.000 0.750
0.000 0.500 0.750
0.000 0.000 0.250
0.566 0.750 0.000
0.566 0.750 0.500
0.434 0.250 0.500
0.434 0.250 0.000
```

DFT total energy: -5.98 eV per atom
offset from the most stable computed form: 0.000 eV/atom
mass density: 6.88 g cm⁻³
SG: P2/c